[1]
Compound: Hg12As3Br5
Source: Alexandria
Functional: PBE-GGA
Structure: optimized geometry

Output
electronic total energy: -1.27 eV per atom
ΔE_f (raw): 52.9 kJ/mol of formula units
density: 7.541 g/cm³
SG: Ia-3d, No. 230
calculated volume: 668 Å³/f.u.
spin magnetization: 0.000 Bohr magnetons per cell

Unit cell a=15.1373 b=15.1373 c=15.1373 alpha=109.47 beta=109.47 gamma=109.47
With the nearest neighbours (Å) after each atom.
Element x y z (fractional)
Hg  0.5565  0.9268  0.6756  1 As 2.76, 1 Br 2.98
Hg  0.7511  0.4268  0.3703  1 As 2.76, 1 Br 2.98
Hg  0.8703  0.2511  0.4268  1 As 2.76, 1 Br 2.98
Hg  0.8703  0.6192  0.9435  1 As 2.76, 1 Br 2.98
Hg  0.6192  0.8703  0.4435  1 As 2.76, 1 Br 2.98
Hg  0.2489  0.6756  0.1192  1 As 2.76, 1 Br 2.98
Hg  0.3703  0.9268  0.7511  1 As 2.76, 1 Br 2.98
Hg  0.3244  0.5732  0.4435  1 As 2.76, 1 Br 2.98
Hg  0.8808  0.8244  0.7511  1 As 2.76, 1 Br 2.98
Hg  0.2511  0.8703  0.9268  1 As 2.76, 1 Br 2.98
Hg  0.0732  0.4435  0.8244  1 As 2.76, 1 Br 2.98
Hg  0.7489  0.6192  0.1756  1 As 2.76, 1 Br 2.98
Hg  0.5732  0.2489  0.1297  1 As 2.76, 1 Br 2.98
Hg  0.8808  0.0565  0.6297  1 As 2.76, 1 Br 2.98
Hg  0.5565  0.6297  0.3808  1 As 2.76, 1 Br 2.98
Hg  0.3244  0.7511  0.3808  1 As 2.76, 1 Br 2.98
Hg  0.8244  0.9435  0.0732  1 As 2.76, 1 Br 2.98
Hg  0.3703  0.4435  0.1192  1 As 2.76, 1 Br 2.98
Hg  0.9268  0.5565  0.1756  1 As 2.76, 1 Br 2.98
Hg  0.1756  0.0565  0.9268  1 As 2.76, 1 Br 2.98
Hg  0.8244  0.8808  0.2511  1 As 2.76, 1 Br 2.98
Hg  0.7511  0.3244  0.8808  1 As 2.76, 1 Br 2.98
Hg  0.6756  0.4268  0.5565  1 As 2.76, 1 Br 2.98
Hg  0.1297  0.3808  0.0565  1 As 2.76, 1 Br 2.98
Hg  0.3808  0.1297  0.5565  1 As 2.76, 1 Br 2.98
Hg  0.4268  0.7511  0.8703  1 As 2.76, 1 Br 2.98
Hg  0.0565  0.8808  0.1297  1 As 2.76, 1 Br 2.98
Hg  0.6297  0.0732  0.2489  1 As 2.76, 1 Br 2.98
Hg  0.1192  0.9435  0.3703  1 As 2.76, 1 Br 2.98
Hg  0.2489  0.5732  0.6297  1 As 2.76, 1 Br 2.98
Hg  0.7489  0.1297  0.0732  1 As 2.76, 1 Br 2.98
Hg  0.1297  0.7489  0.5732  1 As 2.76, 1 Br 2.98
Hg  0.1192  0.1756  0.2489  1 As 2.76, 1 Br 2.98
Hg  0.6192  0.7489  0.6756  1 As 2.76, 1 Br 2.98
Hg  0.0565  0.1756  0.4268  1 As 2.76, 1 Br 2.98
Hg  0.6756  0.2489  0.6192  1 As 2.76, 1 Br 2.98
Hg  0.9268  0.3703  0.2511  1 As 2.76, 1 Br 2.98
Hg  0.3808  0.2511  0.3244  1 As 2.76, 1 Br 2.98
Hg  0.2511  0.3808  0.8244  1 As 2.76, 1 Br 2.98
Hg  0.9435  0.8244  0.5732  1 As 2.76, 1 Br 2.98
Hg  0.0732  0.6297  0.7489  1 As 2.76, 1 Br 2.98
Hg  0.6297  0.5565  0.8808  1 As 2.76, 1 Br 2.98
Hg  0.5732  0.3244  0.9435  1 As 2.76, 1 Br 2.98
Hg  0.9435  0.1192  0.8703  1 As 2.76, 1 Br 2.98
Hg  0.4435  0.0732  0.3244  1 As 2.76, 1 Br 2.98
Hg  0.1756  0.1192  0.7489  1 As 2.76, 1 Br 2.98
Hg  0.4268  0.6756  0.0565  1 As 2.76, 1 Br 2.98
Hg  0.4435  0.3703  0.6192  1 As 2.76, 1 Br 2.98
Br  0.5000  0.0000  0.5000  6 Hg 3.18
Br  0.5000  0.5000  0.5000  6 Hg 3.18
Br  0.7500  0.6250  0.3750  4 Hg 2.98
Br  0.0000  0.0000  0.5000  6 Hg 3.18
Br  0.3750  0.1250  0.7500  4 Hg 2.98
Br  0.3750  0.2500  0.1250  4 Hg 2.98
Br  0.0000  0.5000  0.0000  6 Hg 3.18
Br  0.6250  0.8750  0.2500  4 Hg 2.98
Br  0.1250  0.7500  0.3750  4 Hg 2.98
Br  0.0000  0.5000  0.5000  6 Hg 3.18
Br  0.2500  0.3750  0.6250  4 Hg 2.98
Br  0.7500  0.1250  0.8750  4 Hg 2.98
Br  0.1250  0.3750  0.2500  4 Hg 2.98
Br  0.5000  0.5000  0.0000  6 Hg 3.18
Br  0.6250  0.7500  0.8750  4 Hg 2.98
Br  0.0000  0.0000  0.0000  6 Hg 3.18
Br  0.8750  0.6250  0.7500  4 Hg 2.98
Br  0.5000  0.0000  0.0000  6 Hg 3.18
Br  0.8750  0.2500  0.6250  4 Hg 2.98
Br  0.2500  0.8750  0.1250  4 Hg 2.98
As  0.6250  0.2500  0.3750  4 Hg 2.76
As  0.8750  0.7500  0.1250  4 Hg 2.76
As  0.1250  0.2500  0.8750  4 Hg 2.76
As  0.7500  0.3750  0.1250  4 Hg 2.76
As  0.2500  0.6250  0.8750  4 Hg 2.76
As  0.1250  0.8750  0.7500  4 Hg 2.76
As  0.3750  0.6250  0.2500  4 Hg 2.76
As  0.7500  0.8750  0.6250  4 Hg 2.76
As  0.3750  0.7500  0.6250  4 Hg 2.76
As  0.2500  0.1250  0.3750  4 Hg 2.76
As  0.8750  0.1250  0.2500  4 Hg 2.76
As  0.6250  0.3750  0.7500  4 Hg 2.76


[2]
Compound: HgAsBr3
Source: Alexandria
Functional: PBE-GGA
Structure: optimized geometry

Output
electronic total energy: -2.33 eV per atom
ΔE_f (raw): -162.3 kJ/mol of formula units
density: 3.586 g/cm³
SG: P2/c, No. 13
calculated volume: 239 Å³/f.u.
spin magnetization: 0.000 Bohr magnetons per cell
ΔE to the lowest computed polymorph: 0.00 kcal/mol of atoms

Unit cell a=8.1908 b=8.7537 c=13.3111 alpha=90.00 beta=90.93 gamma=90.00
With the nearest neighbours (Å) after each atom.
Element x y z (fractional)
Hg  0.9885  0.9868  0.8730  1 As 3.19, 2 Hg 3.28-3.39, 1 Br 3.48
Hg  0.9885  0.0132  0.3730  1 As 3.19, 2 Hg 3.28-3.39, 1 Br 3.48
Hg  0.0115  0.0132  0.1270  1 As 3.19, 2 Hg 3.28-3.39, 1 Br 3.48
Hg  0.0115  0.9868  0.6270  1 As 3.19, 2 Hg 3.28-3.39, 1 Br 3.48
As  0.1279  0.6404  0.6086  3 Br 2.38-2.45
As  0.8721  0.3596  0.3914  3 Br 2.38-2.45
As  0.1279  0.3596  0.1086  3 Br 2.38-2.45
As  0.8721  0.6404  0.8914  3 Br 2.38-2.45
Br  0.1361  0.3620  0.5875  1 As 2.45
Br  0.8639  0.3620  0.9125  1 As 2.45
Br  0.6440  0.7120  0.9891  1 As 2.38
Br  0.3560  0.2880  0.0109  1 As 2.38
Br  0.7505  0.3495  0.2259  1 As 2.40
Br  0.2495  0.3495  0.2741  1 As 2.40
Br  0.2495  0.6505  0.7741  1 As 2.40
Br  0.3560  0.7120  0.5109  1 As 2.38
Br  0.7505  0.6505  0.7259  1 As 2.40
Br  0.8639  0.6380  0.4125  1 As 2.45
Br  0.6440  0.2880  0.4891  1 As 2.38
Br  0.1361  0.6380  0.0875  1 As 2.45


[3]
Compound: Hg2AsBr2
Source: Alexandria
Functional: PBE-GGA
Structure: optimized geometry

Output
electronic total energy: -1.95 eV per atom
ΔE_f (raw): -110.1 kJ/mol of formula units
density: 6.470 g/cm³
SG: P-1, No. 2
calculated volume: 163 Å³/f.u.
spin magnetization: 0.000 Bohr magnetons per cell

Unit cell a=7.0246 b=6.5344 c=8.2980 alpha=79.91 beta=61.16 gamma=79.56
With the nearest neighbours (Å) after each atom.
Element x y z (fractional)
Hg  0.3906  0.3762  0.8046  1 As 2.55, 1 Br 2.59
Hg  0.0427  0.1799  0.3928  1 Br 2.62, 1 Hg 2.66
Hg  0.6094  0.6238  0.1954  1 As 2.55, 1 Br 2.59
Hg  0.9573  0.8201  0.6072  1 Br 2.62, 1 Hg 2.66
Br  0.0957  0.5604  0.2280  1 Hg 2.62
Br  0.9043  0.4396  0.7720  1 Hg 2.62
Br  0.5816  0.2457  0.3586  1 Hg 2.59
Br  0.4184  0.7543  0.6414  1 Hg 2.59
As  0.3348  0.0220  0.9968  1 As 2.31, 1 Hg 2.55
As  0.6652  0.9780  0.0032  1 As 2.31, 1 Hg 2.55


[4]
Compound: HgAsBr4
Source: Alexandria
Functional: PBE-GGA
Structure: optimized geometry

Output
electronic total energy: -1.18 eV per atom
ΔE_f (raw): 443.1 kJ/mol of formula units
density: 5.525 g/cm³
SG: F-43m, No. 216
calculated volume: 179 Å³/f.u.
spin magnetization: 1.930 Bohr magnetons per cell

Unit cell a=6.3245 b=6.3245 c=6.3245 alpha=60.00 beta=60.00 gamma=60.00
With the nearest neighbours (Å) after each atom.
Element x y z (fractional)
Br  0.3745  0.3745  0.8766  6 Br 3.15-3.18
Br  0.3745  0.8766  0.3745  6 Br 3.15-3.18
Br  0.8766  0.3745  0.3745  6 Br 3.15-3.18
Br  0.3745  0.3745  0.3745  6 Br 3.15-3.18
Hg  0.7500  0.7500  0.7500  12 Br 3.71, 4 As 3.87
As  0.0000  0.0000  0.0000  12 Br 3.71, 4 Hg 3.87


[5]
Compound: Hg2AsBr
Source: Alexandria
Functional: PBE-GGA
Structure: optimized geometry

Output
electronic total energy: -1.88 eV per atom
ΔE_f (raw): -58.0 kJ/mol of formula units
density: 6.911 g/cm³
SG: Pm, No. 6
calculated volume: 134 Å³/f.u.
spin magnetization: 0.000 Bohr magnetons per cell
ΔE to the lowest computed polymorph: 1.32 kcal/mol of atoms

Unit cell a=4.7078 b=6.0278 c=4.7079 alpha=89.89 beta=90.00 gamma=90.00
With the nearest neighbours (Å) after each atom.
Element x y z (fractional)
Hg  0.0000  0.0677  0.8763  2 As 2.60
Hg  0.5000  0.4323  0.3740  2 As 2.60
Br  0.5000  0.7500  0.8739  4 Hg 3.03-3.04
As  0.0000  0.2500  0.3757  4 Hg 2.60


[6]
Compound: Hg2AsBr
Source: Alexandria
Functional: PBE-GGA
Structure: optimized geometry

Output
electronic total energy: -1.38 eV per atom
ΔE_f (raw): 135.4 kJ/mol of formula units
density: 9.315 g/cm³
SG: Fm-3m, No. 225
calculated volume: 99 Å³/f.u.
spin magnetization: 0.000 Bohr magnetons per cell
ΔE to the lowest computed polymorph: 12.87 kcal/mol of atoms

Unit cell a=5.1946 b=5.1946 c=5.1946 alpha=60.00 beta=60.00 gamma=60.00
With the nearest neighbours (Å) after each atom.
Element x y z (fractional)
Br  0.5000  0.5000  0.5000  8 Hg 3.18
As  0.0000  0.0000  0.0000  8 Hg 3.18
Hg  0.2500  0.2500  0.2500  4 Br 3.18, 4 As 3.18
Hg  0.7500  0.7500  0.7500  4 As 3.18, 4 Br 3.18